Entry 1:
Compound: Tb4Pm4Tm3
Source: the Alexandria database
Functional: PBE
Structure: relaxed

Structure (extended XYZ):
```
11
Lattice="3.527 0.000 0.002 0.000 5.647 0.004 1.754 2.808 17.778" Properties=species:S:1:pos:R:3 pbc="T T T"
Tm 0.000 5.647 0.004
Tm 1.758 5.636 12.965
Tm 3.524 2.819 4.819
Pm 1.762 5.643 3.207
Pm 1.760 2.816 8.254
Pm 3.520 2.812 14.578
Pm 3.522 5.639 9.529
Tb 1.759 5.642 6.400
Tb 1.761 2.821 1.624
Tb 3.521 5.634 16.161
Tb 3.523 2.813 11.384
```

Computed properties:
As for the formation energy: 0.061 eV per atom. The crystal system is orthorhombic. As for the distance to the lowest polymorph of the same formula: 0.0082 eV/atom. The value obtained for the calculated density is 8.08 g/cm3. As for the raw total energy: -4.57 eV per atom.



Entry 2:
Compound: Tb2Pm9Tm
Source: the Alexandria database
Functional: PBE
Structure: relaxed

Structure (extended XYZ):
```
12
Lattice="-0.321 4.028 3.144 -4.549 1.209 -2.013 -6.979 -8.760 10.510" Properties=species:S:1:pos:R:3 pbc="T T T"
Pm -3.431 -0.847 0.735
Pm -4.757 -0.296 4.062
Pm -5.764 -3.776 4.248
Pm -5.983 -5.295 10.341
Pm -8.097 -6.704 7.762
Pm -1.317 0.563 3.313
Pm -2.435 2.618 0.566
Pm -7.092 -3.227 7.579
Pm -3.650 -2.366 6.827
Tb -2.321 -2.913 3.495
Tb -4.658 -5.847 7.015
Tm 0.000 0.000 0.000
```

Computed properties:
As for the formation energy: 0.017 eV per atom. The crystal system is tetragonal. The value obtained for the calculated density is 7.39 g/cm3. As for the raw total energy: -4.69 eV per atom.



Entry 3:
Compound: Tb3Pm6Tm
Source: the Alexandria database
Functional: PBE
Structure: relaxed

Structure (extended XYZ):
```
20
Lattice="-0.228 -6.143 -1.626 5.101 -2.694 9.462 -11.056 0.546 -0.511" Properties=species:S:1:pos:R:3 pbc="T T T"
Pm -1.157 -7.538 7.256
Pm -5.077 -2.104 -0.288
Pm -4.809 -4.669 4.661
Pm -2.799 -3.944 1.639
Pm -3.293 -1.879 6.339
Pm -7.844 -3.103 3.871
Pm -1.283 -1.154 3.317
Pm 4.409 -4.965 8.456
Pm -10.656 -5.038 -1.584
Pm 1.610 -6.539 3.096
Pm 0.571 -2.716 6.442
Pm -6.709 -4.351 1.207
Tb -4.835 -1.182 3.214
Tb -1.270 -4.991 4.672
Tb 0.728 -3.599 1.892
Tb -3.213 -5.020 7.815
Tb -7.011 -7.353 4.729
Tb -3.070 -5.932 -1.195
Tm -7.917 -0.803 1.254
Tm 1.795 -5.844 6.506
```

Computed properties:
As for the formation energy: 0.142 eV per atom. The crystal system is orthorhombic. As for the distance to the lowest polymorph of the same formula: 0.0000 eV/atom. The value obtained for the calculated density is 7.50 g/cm3. As for the raw total energy: -4.55 eV per atom.



Entry 4:
Compound: Tb2PmTm7
Source: the Alexandria database
Functional: PBE
Structure: relaxed

Structure (extended XYZ):
```
10
Lattice="5.302 0.000 0.000 0.000 9.369 -0.690 0.000 -4.842 8.050" Properties=species:S:1:pos:R:3 pbc="T T T"
Tm 2.651 -0.789 2.284
Tm 2.651 2.394 0.326
Tm 2.651 2.132 7.034
Tm 0.000 -1.972 6.285
Tm 2.651 5.316 5.077
Tm 0.000 6.499 1.075
Tm 2.651 2.263 3.680
Pm 0.000 0.000 0.000
Tb 2.651 5.121 1.923
Tb 2.651 -0.594 5.438
```

Computed properties:
As for the formation energy: 0.715 eV per atom. The crystal system is orthorhombic. As for the distance to the lowest polymorph of the same formula: 0.6916 eV/atom. The value obtained for the calculated density is 7.15 g/cm3. As for the raw total energy: -3.82 eV per atom.



Entry 5:
Compound: Tb2Pm3Tm8
Source: the Alexandria database
Functional: PBE
Structure: relaxed

Structure (extended XYZ):
```
13
Lattice="-1.837 4.431 1.402 1.517 -1.754 7.535 8.716 5.788 -6.874" Properties=species:S:1:pos:R:3 pbc="T T T"
Tb 2.978 4.465 -1.303
Tb 5.418 4.000 3.366
Tm 2.489 5.143 4.820
Tm 0.196 5.586 0.415
Tm 5.907 3.322 -2.758
Tm 8.200 2.879 1.648
Tm 6.148 5.325 0.132
Tm 6.935 6.643 -3.001
Tm 1.461 1.822 5.063
Tm 2.249 3.139 1.931
Pm 9.080 4.241 -1.506
Pm -0.919 2.215 0.701
Pm -0.683 4.223 3.569
```

Computed properties:
As for the formation energy: 0.160 eV per atom. The crystal system is monoclinic. As for the distance to the lowest polymorph of the same formula: 0.0000 eV/atom. The value obtained for the calculated density is 8.15 g/cm3. As for the raw total energy: -4.40 eV per atom.



Entry 6:
Compound: Tb10PmTm4
Source: the Alexandria database
Functional: PBE
Structure: relaxed

Structure (extended XYZ):
```
15
Lattice="-0.052 -10.318 1.845 -0.766 -6.352 -5.769 6.771 -5.323 0.200" Properties=species:S:1:pos:R:3 pbc="T T T"
Tb 5.805 -12.487 -0.708
Tb 2.137 -3.703 -0.284
Tb 5.822 -9.226 -1.291
Tb 2.120 -6.964 0.299
Tb 2.963 -13.576 -1.400
Tb 3.832 -15.029 -4.023
Tb 3.815 -18.290 -3.440
Tb 0.147 -9.506 -3.016
Tb 2.989 -8.417 -2.323
Tb 0.131 -12.767 -2.433
Tm 4.598 -16.080 -0.471
Tm 1.354 -5.913 -3.253
Tm 2.502 -10.704 -0.240
Tm 3.451 -11.289 -3.484
Pm 0.000 0.000 0.000
```

Computed properties:
As for the formation energy: 0.340 eV per atom. The crystal system is tetragonal. The value obtained for the calculated density is 8.17 g/cm3. As for the raw total energy: -4.26 eV per atom.